(1)
Er8GaSb3Te4 after structural relaxation. Source: Alexandria, functional PBE.

a = 8.6480 Å, b = 8.6595 Å, c = 8.6477 Å
α = 119.96°, β = 120.00°, γ = 90.00°
Sites, in units of the cell vectors:
1 Er 0.2413 0.2703 0.0058
2 Er 0.7644 0.2702 0.5287
3 Er 0.2539 0.2617 0.5077
4 Er 0.7461 0.7383 0.4923
5 Er 0.7645 0.2703 0.0058
6 Er 0.7587 0.7297 0.9942
7 Er 0.2356 0.7298 0.4713
8 Er 0.2355 0.7297 0.9942
9 Sb 0.5000 0.5000 0.0000
10 Sb 0.0000 0.5000 0.5000
11 Sb 0.5000 0.5000 0.5000
12 Te 0.0000 0.0000 0.5000
13 Te 0.0000 0.0000 0.0000
14 Te 0.5000 0.0000 0.0000
15 Te 0.5000 0.0000 0.5000
16 Ga 0.0000 0.5000 0.0000

Properties
Uncorrected energy, eV per cell: -82.9
V, Å³ per cell: 458.2

(2)
Er4GaSbTe2 after structural relaxation. Source: Alexandria, functional PBE.

a = 4.2148 Å, b = 7.5005 Å, c = 7.5266 Å
α = 108.66°, β = 90.00°, γ = 90.00°
Sites, in units of the cell vectors:
1 Te 0.5000 0.0000 0.5000
2 Te 0.0000 0.5000 0.5000
3 Er 0.0000 0.2662 0.7712
4 Er 0.5000 0.2578 0.2299
5 Er 0.5000 0.7422 0.7701
6 Er 0.0000 0.7338 0.2288
7 Ga 0.5000 0.5000 0.0000
8 Sb 0.0000 0.0000 0.0000

Properties
Uncorrected energy, eV per cell: -40.2
V, Å³ per cell: 225.4

Results for raw formation energy: -1.149 -1.065 (in eV/atom, following the order of the records).